(w)
A plane-wave DFT calculation with PBE-GGA was carried out for NbAlH2 after structural relaxation.

a b c (Å): 5.3766 5.3766 5.3766
angles (deg): 90.00 90.00 90.00
Closest atoms and distances in Å follow each position.
Space group Fm-3m (No. 225)
Asymmetric unit:
Nb1 0.0000 0.0000 0.0000 x4  8 H 2.33
Al1 0.0000 0.0000 0.5000 x4  8 H 2.33
H1 0.2500 0.2500 0.2500 x8  4 Al 2.33, 4 Nb 2.33


(x)
A plane-wave DFT calculation with PBE-GGA was carried out for NbAlH2 after structural relaxation.

a b c (Å): 4.3462 4.3462 8.6179
angles (deg): 90.00 90.00 90.00
Closest atoms and distances in Å follow each position.
Space group I-42d (No. 122)
Asymmetric unit:
Nb1 0.0000 0.0000 0.0000 x4  4 H 1.87
Al1 0.0000 0.0000 0.5000 x4  4 H 1.88
H1 0.2492 0.2500 0.1250 x8  2 Nb 1.87, 2 Al 1.88


(x) is favored, and the nearest alternative lies 39.6 kJ/mol of atoms above it.


(w)
A plane-wave DFT calculation with PBE-GGA was carried out for NbAl3H after structural relaxation.

a b c (Å): 5.1158 5.1158 5.1158
angles (deg): 90.00 90.00 90.00
Closest atoms and distances in Å follow each position.
Space group Pm-3m (No. 221)
Asymmetric unit:
Nb1 0.0000 0.0000 0.0000 x1  6 Al 2.56
Al1 0.0000 0.0000 0.5000 x3  2 Nb 2.56
H1 0.5000 0.5000 0.5000 x1  12 Al 3.62


(x)
A plane-wave DFT calculation with PBE-GGA was carried out for NbAl3H after structural relaxation.

a b c (Å): 4.0327 4.0327 4.0327
angles (deg): 90.00 90.00 90.00
Closest atoms and distances in Å follow each position.
Space group Pm-3m (No. 221)
Asymmetric unit:
Nb1 0.0000 0.0000 0.0000 x1  12 Al 2.85
Al1 0.0000 0.5000 0.5000 x3  2 H 2.02
H1 0.5000 0.5000 0.5000 x1  6 Al 2.02


(x) is favored, and the nearest alternative lies 137.9 kJ/mol of atoms above it.


(w)
A plane-wave DFT calculation with PBE-GGA was carried out for Nb4Al2H after structural relaxation.

a b c (Å): 3.8519 3.8519 14.8825
angles (deg): 90.00 90.00 90.00
Closest atoms and distances in Å follow each position.
Space group I4/mmm (No. 139)
Asymmetric unit:
Nb1 0.0000 0.0000 0.1816 x4  5 Al 2.68-2.80, 1 H 2.70
Nb2 0.0000 0.5000 0.0000 x4  2 H 1.93
Al1 0.0000 0.0000 0.3616 x4  9 Nb 2.68-2.82
H1 0.0000 0.0000 0.0000 x2  4 Nb 1.93


(x)
A plane-wave DFT calculation with PBE-GGA was carried out for Nb4Al2H after structural relaxation.

a b c (Å): 5.2860 2.8067 7.5665
angles (deg): 90.00 102.19 90.00
Closest atoms and distances in Å follow each position.
Space group Pm (No. 6)
Asymmetric unit:
Nb1 0.0000 0.0000 0.0000 x1  2 H 2.06
Nb2 0.1455 0.5000 0.6535 x1  1 H 1.98
Nb3 0.3655 0.5000 0.3446 x1  5 Nb 2.81-3.13, 6 Al 2.91-3.00, 1 H 3.13
Nb4 0.5133 0.0000 0.0113 x1  2 H 2.03
Al1 0.6478 0.0000 0.6628 x1  3 Al 2.81-2.90, 8 Nb 2.82-3.00
Al2 0.8669 0.0000 0.3420 x1  8 Nb 2.79-3.00, 3 Al 2.81-2.90
H1 0.2380 0.5000 0.9207 x1  5 Nb 1.98-2.06


(w) is favored, and the nearest alternative lies 7.5 kJ/mol of atoms above it.


(w)
A plane-wave DFT calculation with PBE-GGA was carried out for NbAl2H after structural relaxation.

a b c (Å): 6.2434 6.2434 6.2434
angles (deg): 90.00 90.00 90.00
Closest atoms and distances in Å follow each position.
Space group Fm-3m (No. 225)
Asymmetric unit:
Nb1 0.0000 0.0000 0.0000 x4  8 Al 2.70
Al1 0.2500 0.2500 0.2500 x8  4 H 2.70, 4 Nb 2.70
H1 0.0000 0.0000 0.5000 x4  8 Al 2.70


(x)
A plane-wave DFT calculation with PBE-GGA was carried out for NbAl2H after structural relaxation.

a b c (Å): 5.4788 5.4788 7.1391
angles (deg): 90.00 90.00 90.00
Closest atoms and distances in Å follow each position.
Space group I-42d (No. 122)
Asymmetric unit:
Nb1 0.0000 0.0000 0.0000 x4  8 Al 2.78-3.05
Al1 0.0906 0.2500 0.6250 x8  2 H 1.71
H1 0.0000 0.0000 0.5000 x4  4 Al 1.71


(x) is favored, and the nearest alternative lies 58.7 kJ/mol of atoms above it.


(w)
A plane-wave DFT calculation with PBE-GGA was carried out for Nb2AlHRh after structural relaxation.

a b c (Å): 4.0889 4.0889 4.0721
angles (deg): 90.00 90.00 90.00
Closest atoms and distances in Å follow each position.
Space group P4/mmm (No. 123)
Asymmetric unit:
Nb1 0.0000 0.5000 0.0000 x2  2 H 2.04
Al1 0.0000 0.0000 0.5000 x1  8 Nb 2.89, 4 Rh 2.89
H1 0.5000 0.5000 0.0000 x1  2 Rh 2.04, 4 Nb 2.04
Rh1 0.5000 0.5000 0.5000 x1  2 H 2.04


(x)
A plane-wave DFT calculation with PBE-GGA was carried out for Nb2AlHRh after structural relaxation.

a b c (Å): 3.9021 3.9021 4.4736
angles (deg): 90.00 90.00 90.00
Closest atoms and distances in Å follow each position.
Space group P4/mmm (No. 123)
Asymmetric unit:
Nb1 0.0000 0.5000 0.0000 x2  2 H 1.95
Al1 0.0000 0.0000 0.5000 x1  2 H 2.24
H1 0.0000 0.0000 0.0000 x1  4 Nb 1.95
Rh1 0.5000 0.5000 0.5000 x1  4 Al 2.76, 8 Nb 2.97


(w) is favored, and the nearest alternative lies 5.6 kJ/mol of atoms above it.


(w)
A plane-wave DFT calculation with PBE-GGA was carried out for TaNb2AlH after structural relaxation.

a b c (Å): 4.0192 4.0192 4.5171
angles (deg): 90.00 90.00 90.00
Closest atoms and distances in Å follow each position.
Space group P4/mmm (No. 123)
Asymmetric unit:
Ta1 0.0000 0.0000 0.0000 x1  4 Al 2.84, 8 Nb 3.02
Nb1 0.0000 0.5000 0.5000 x2  2 H 2.01
Al1 0.5000 0.5000 0.0000 x1  2 H 2.26
H1 0.5000 0.5000 0.5000 x1  4 Nb 2.01


(x)
A plane-wave DFT calculation with PBE-GGA was carried out for TaNb2AlH after structural relaxation.

a b c (Å): 4.2777 4.2777 3.9827
angles (deg): 90.00 90.00 90.00
Closest atoms and distances in Å follow each position.
Space group P4/mmm (No. 123)
Asymmetric unit:
Ta1 0.0000 0.0000 0.0000 x1  2 H 1.99
Nb1 0.0000 0.5000 0.5000 x2  2 H 2.14
Al1 0.5000 0.5000 0.0000 x1  8 Nb 2.92, 4 Ta 3.02
H1 0.0000 0.0000 0.5000 x1  2 Ta 1.99, 4 Nb 2.14


(x) is favored, and the nearest alternative lies 5.8 kJ/mol of atoms above it.


(w)
A plane-wave DFT calculation with PBE-GGA was carried out for TiNb2AlH after structural relaxation.

a b c (Å): 3.9758 3.9758 4.5531
angles (deg): 90.00 90.00 90.00
Closest atoms and distances in Å follow each position.
Space group P4/mmm (No. 123)
Asymmetric unit:
Ti1 0.0000 0.0000 0.0000 x1  4 Al 2.81, 8 Nb 3.02
Nb1 0.0000 0.5000 0.5000 x2  2 H 1.99
Al1 0.5000 0.5000 0.0000 x1  2 H 2.28
H1 0.5000 0.5000 0.5000 x1  4 Nb 1.99


(x)
A plane-wave DFT calculation with PBE-GGA was carried out for TiNb2AlH after structural relaxation.

a b c (Å): 4.0256 4.0256 4.4053
angles (deg): 90.00 90.00 90.00
Closest atoms and distances in Å follow each position.
Space group P4/mmm (No. 123)
Asymmetric unit:
Ti1 0.0000 0.0000 0.0000 x1  2 H 2.20
Nb1 0.0000 0.5000 0.5000 x2  2 H 2.01
Al1 0.5000 0.5000 0.0000 x1  4 Ti 2.85, 8 Nb 2.98
H1 0.0000 0.0000 0.5000 x1  4 Nb 2.01, 2 Ti 2.20


(x) is favored, and the nearest alternative lies 9.0 kJ/mol of atoms above it.


(w)
A plane-wave DFT calculation with PBE-GGA was carried out for NdAlH after structural relaxation.

a b c (Å): 3.2197 3.2197 11.4088
angles (deg): 90.00 90.00 90.00
Closest atoms and distances in Å follow each position.
Space group I4mm (No. 107)
Asymmetric unit:
Nd1 0.0000 0.0000 0.0000 x2  4 H 2.33
Al1 0.0000 0.0000 0.7171 x2  1 H 2.96, 4 Al 3.22, 1 Nd 3.23
H1 0.0000 0.0000 0.4573 x2  4 Nd 2.33


(x)
A plane-wave DFT calculation with PBE-GGA was carried out for NdAlH after structural relaxation.

a b c (Å): 4.3209 11.1251 4.9176
angles (deg): 90.00 90.00 90.00
Closest atoms and distances in Å follow each position.
Space group Cmcm (No. 63)
Asymmetric unit:
Nd1 0.0000 0.1833 0.2500 x4  4 H 2.38-2.51
Al1 0.0000 0.5000 0.0000 x4  2 Al 2.46
H1 0.0000 0.2276 0.7500 x4  4 Nd 2.38-2.51


(x) is favored, and the nearest alternative lies 19.1 kJ/mol of atoms above it.


(w)
A plane-wave DFT calculation with PBE-GGA was carried out for Al2NiH2 after structural relaxation.

a b c (Å): 5.7356 5.7356 2.9863
angles (deg): 90.00 90.00 90.00
Closest atoms and distances in Å follow each position.
Space group P4/mbm (No. 127)
Asymmetric unit:
Al1 0.1606 0.3394 0.0000 x4  2 H 1.79
Ni1 0.0000 0.0000 0.5000 x2  4 H 2.05
H1 0.2171 0.7171 0.5000 x4  2 Al 1.79


(x)
A plane-wave DFT calculation with PBE-GGA was carried out for Al2NiH2 after structural relaxation.

a b c (Å): 2.8070 2.8070 11.7279
angles (deg): 90.00 90.00 90.00
Closest atoms and distances in Å follow each position.
Space group I4/mmm (No. 139)
Asymmetric unit:
Al1 0.0000 0.0000 0.1320 x4  4 H 1.97
Ni1 0.0000 0.0000 0.5000 x2  8 Al 2.52, 4 Ni 2.81
H1 0.0000 0.5000 0.2500 x4  4 Al 1.97, 4 H 1.98


(x) is favored, and the nearest alternative lies 15.3 kJ/mol of atoms above it.


(w)
A plane-wave DFT calculation with PBE-GGA was carried out for AlNi3H after structural relaxation.

a b c (Å): 6.5130 6.5130 7.9915
angles (deg): 90.00 90.00 120.00
Closest atoms and distances in Å follow each position.
Space group R-3c (No. 167, hexagonal axes)
Asymmetric unit:
Al1 0.0000 0.0000 0.0000 x6  2 H 2.00
Ni1 0.0000 0.2601 0.2500 x18  1 H 1.69
H1 0.0000 0.0000 0.2500 x6  3 Ni 1.69


(x)
A plane-wave DFT calculation with PBE-GGA was carried out for AlNi3H after structural relaxation.

a b c (Å): 3.9945 3.9945 7.1991
angles (deg): 90.00 90.00 120.00
Closest atoms and distances in Å follow each position.
Space group P6_3/mmc (No. 194)
Asymmetric unit:
Al1 0.3333 0.6667 0.2500 x2  5 Ni 2.31-2.37
Ni1 0.0000 0.0000 0.2500 x2  2 H 1.80
Ni2 0.3333 0.6667 0.5793 x4  4 Al 2.37-2.61, 3 H 2.38, 7 Ni 2.46-2.61
H1 0.0000 0.0000 0.0000 x2  2 Ni 1.80


(y)
A plane-wave DFT calculation with PBE-GGA was carried out for AlNi3H after structural relaxation.

a b c (Å): 3.7731 5.0105 5.0130
angles (deg): 90.00 90.00 90.00
Closest atoms and distances in Å follow each position.
Space group Pmmm (No. 47)
Asymmetric unit:
Al1 0.0000 0.0000 0.0000 x1  12 Ni 2.51-2.58
Al2 0.0000 0.5000 0.5000 x1  2 H 1.89
Ni1 0.0000 0.0000 0.5000 x1  4 Al 2.51, 8 Ni 2.57
Ni2 0.0000 0.5000 0.0000 x1  2 H 1.89
Ni3 0.5000 0.2443 0.2520 x4  2 H 1.79-1.80
H1 0.5000 0.5000 0.0000 x1  6 Ni 1.80-1.89
H2 0.5000 0.5000 0.5000 x1  4 Ni 1.79, 2 Al 1.89


(z)
A plane-wave DFT calculation with PBE-GGA was carried out for AlNi3H after structural relaxation.

a b c (Å): 4.3035 4.3035 4.3035
angles (deg): 90.00 90.00 90.00
Closest atoms and distances in Å follow each position.
Space group Pm-3m (No. 221)
Asymmetric unit:
Al1 0.0000 0.0000 0.0000 x1  6 Ni 2.15
Ni1 0.0000 0.0000 0.5000 x3  2 Al 2.15
H1 0.5000 0.5000 0.5000 x1  12 Ni 3.04


(y) is favored, and the nearest alternative lies 17.3 kJ/mol of atoms above it.


(w)
A plane-wave DFT calculation with PBE-GGA was carried out for AlNiH2 after structural relaxation.

a b c (Å): 5.0488 5.0488 5.0488
angles (deg): 90.00 90.00 90.00
Closest atoms and distances in Å follow each position.
Space group Fm-3m (No. 225)
Asymmetric unit:
Al1 0.0000 0.0000 0.0000 x4  8 H 2.19
Ni1 0.0000 0.0000 0.5000 x4  8 H 2.19
H1 0.2500 0.2500 0.2500 x8  4 Ni 2.19, 4 Al 2.19


(x)
A plane-wave DFT calculation with PBE-GGA was carried out for AlNiH2 after structural relaxation.

a b c (Å): 4.0307 4.0307 8.2550
angles (deg): 90.00 90.00 90.00
Closest atoms and distances in Å follow each position.
Space group I-42d (No. 122)
Asymmetric unit:
Al1 0.0000 0.0000 0.0000 x4  4 H 1.92
Ni1 0.0000 0.0000 0.5000 x4  4 H 1.63
H1 0.1870 0.2500 0.6250 x8  2 Ni 1.63


(x) is favored, and the nearest alternative lies 34.6 kJ/mol of atoms above it.


(w)
A plane-wave DFT calculation with PBE-GGA was carried out for AlNi2H after structural relaxation.

a b c (Å): 5.4734 5.4734 5.4734
angles (deg): 90.00 90.00 90.00
Closest atoms and distances in Å follow each position.
Space group Fm-3m (No. 225)
Asymmetric unit:
Al1 0.0000 0.0000 0.0000 x4  8 Ni 2.37
Ni1 0.2500 0.2500 0.2500 x8  4 H 2.37, 4 Al 2.37
H1 0.0000 0.0000 0.5000 x4  8 Ni 2.37


(x)
A plane-wave DFT calculation with PBE-GGA was carried out for AlNi2H after structural relaxation.

a b c (Å): 2.6963 2.6963 17.9932
angles (deg): 90.00 90.00 120.00
Closest atoms and distances in Å follow each position.
Space group R-3m (No. 166, hexagonal axes)
Asymmetric unit:
Al1 0.0000 0.0000 0.0000 x3  6 Ni 2.49, 6 Al 2.70
Ni1 0.0000 0.0000 0.2255 x6  3 H 1.88
H1 0.0000 0.0000 0.5000 x3  6 Ni 1.88


(x) is favored, and the nearest alternative lies 41.6 kJ/mol of atoms above it.